1.
A plane-wave DFT calculation with GGA-PBE was carried out for an optimized crystal structure of Sc2IrBr.

Properties
**N(E_F)**: 3.02 states/eV per cell
**Electronic total energy**: -6.339 eV/atom

Lattice parameters (Å, degrees): 4.951 4.951 4.951 131.55 113.11 86.80
Element x y z (fractional)
1 Br 0.750 0.250 0.500
2 Sc 0.489 0.489 0.000
3 Sc 0.011 0.011 0.000
4 Ir 0.250 0.750 0.500

2.
A plane-wave DFT calculation with GGA-PBE was carried out for an optimized crystal structure of ScIrBr2.

Properties
**N(E_F)**: 0.07 states/eV per cell
**Electronic total energy**: -4.800 eV/atom

Lattice parameters (Å, degrees): 4.557 4.557 8.930 75.22 75.22 90.00
Element x y z (fractional)
1 Br 0.375 0.365 0.750
2 Br 0.875 0.885 0.750
3 Br 0.115 0.625 0.250
4 Br 0.635 0.125 0.250
5 Sc 0.500 0.500 0.000
6 Sc 0.250 0.750 0.500
7 Ir 0.750 0.250 0.500
8 Ir 0.000 0.000 0.000

3.
A plane-wave DFT calculation with GGA-PBE was carried out for an optimized crystal structure of ScIrBr2.

Properties
**N(E_F)**: 1.02 states/eV per cell
**Electronic total energy**: -4.792 eV/atom

Lattice parameters (Å, degrees): 4.460 5.360 4.437 65.94 89.15 114.20
Element x y z (fractional)
1 Br 0.500 0.000 0.500
2 Br 0.000 0.000 0.000
3 Ir 0.000 0.500 0.500
4 Sc 0.500 0.500 0.000

4.
A plane-wave DFT calculation with GGA-PBE was carried out for an optimized crystal structure of Sc2IrBr.

Properties
**N(E_F)**: 1.81 states/eV per cell
**Electronic total energy**: -6.751 eV/atom

Lattice parameters (Å, degrees): 3.853 3.853 7.448 75.09 75.09 60.08
Element x y z (fractional)
1 Ir 0.750 0.750 0.750
2 Sc 0.479 0.479 0.560
3 Sc 0.021 0.021 0.940
4 Br 0.250 0.250 0.250

5.
A plane-wave DFT calculation with GGA-PBE was carried out for an optimized crystal structure of Sc2IrBr.

Properties
**N(E_F)**: 4.17 states/eV per cell
**Electronic total energy**: -6.469 eV/atom

Lattice parameters (Å, degrees): 3.842 3.842 5.615 90.00 90.00 90.00
Element x y z (fractional)
1 Ir 0.500 0.500 0.877
2 Sc 0.000 0.000 0.889
3 Sc 0.500 0.500 0.335
4 Br 0.000 0.000 0.399

6.
A plane-wave DFT calculation with GGA-PBE was carried out for an optimized crystal structure of ScIrBr2.

Properties
**N(E_F)**: 5.27 states/eV per cell
**Electronic total energy**: -4.436 eV/atom

Lattice parameters (Å, degrees): 3.351 3.351 6.778 90.00 90.00 90.00
Element x y z (fractional)
1 Sc 0.500 0.500 0.750
2 Ir 0.500 0.500 0.250
3 Br 0.000 0.000 0.984
4 Br 0.000 0.000 0.516

7.
A plane-wave DFT calculation with GGA-PBE was carried out for an optimized crystal structure of ScIrBr2.

Properties
**N(E_F)**: 2.46 states/eV per cell
**Electronic total energy**: -5.062 eV/atom

Lattice parameters (Å, degrees): 3.190 3.190 9.191 90.00 90.00 89.94
Element x y z (fractional)
1 Ir 0.000 0.000 0.536
2 Br 0.500 0.500 0.330
3 Br 0.000 0.000 0.916
4 Sc 0.500 0.500 0.718

8.
A plane-wave DFT calculation with GGA-PBE was carried out for an optimized crystal structure of ScIrSe2Br.

Properties
**N(E_F)**: 6.54 states/eV per cell
**Electronic total energy**: -4.342 eV/atom

Lattice parameters (Å, degrees): 5.155 5.155 5.032 90.00 90.00 90.00
Site moments in Bohr magnetons follow the coordinates.
Element x y z (fractional)
1 Se 0.000 0.500 0.000  0.11
2 Se 0.500 0.000 0.000  0.11
3 Sc 0.000 0.000 0.000  0.01
4 Br 0.000 0.000 0.500  0.10
5 Ir 0.500 0.500 0.500  2.03

9.
A plane-wave DFT calculation with GGA-PBE was carried out for an optimized crystal structure of ScIrSe2Br.

Properties
**N(E_F)**: 1.47 states/eV per cell
**Electronic total energy**: -4.750 eV/atom

Lattice parameters (Å, degrees): 4.965 4.965 4.886 90.00 90.00 90.00
Element x y z (fractional)
1 Se 0.500 0.000 0.000
2 Se 0.000 0.500 0.000
3 Sc 0.500 0.500 0.500
4 Br 0.000 0.000 0.500
5 Ir 0.000 0.000 0.000

10.
A plane-wave DFT calculation with GGA-PBE was carried out for an optimized crystal structure of SrSc2IrBr.

Properties
**N(E_F)**: 3.63 states/eV per cell
**Electronic total energy**: -5.211 eV/atom

Lattice parameters (Å, degrees): 4.872 7.287 4.872 90.00 90.00 90.00
Element x y z (fractional)
1 Ir 0.000 0.000 0.000
2 Sr 0.500 0.500 0.500
3 Br 0.000 0.500 0.000
4 Sc 0.500 0.000 0.000
5 Sc 0.000 0.000 0.500

11.
A plane-wave DFT calculation with GGA-PBE was carried out for an optimized crystal structure of ScIrW2Br.

Properties
**N(E_F)**: 9.92 states/eV per cell
**Electronic total energy**: -6.056 eV/atom

Lattice parameters (Å, degrees): 4.768 4.661 4.768 90.00 90.00 90.00
Site moments in Bohr magnetons follow the coordinates.
Element x y z (fractional)
1 W 0.000 0.000 0.500  0.36
2 W 0.500 0.000 0.000  0.49
3 Br 0.000 0.500 0.000  0.05
4 Ir 0.500 0.500 0.500  0.07
5 Sc 0.000 0.000 0.000  0.05

12.
A plane-wave DFT calculation with GGA-PBE was carried out for an optimized crystal structure of Ir2SeBr.

Properties
**N(E_F)**: 3.63 states/eV per cell
**Electronic total energy**: -4.836 eV/atom

Lattice parameters (Å, degrees): 3.012 3.012 8.985 90.00 90.00 122.53
Element x y z (fractional)
1 Ir 0.000 0.000 0.010
2 Ir 0.000 0.000 0.490
3 Se 0.500 0.500 0.250
4 Br 0.500 0.500 0.750

13.
A plane-wave DFT calculation with GGA-PBE was carried out for an optimized crystal structure of IrSeBr.

Properties
**N(E_F)**: 1.26 states/eV per cell
**Electronic total energy**: -4.490 eV/atom

Lattice parameters (Å, degrees): 7.143 7.176 7.176 155.72 152.36 37.16
Element x y z (fractional)
1 Br 0.366 0.039 0.328
2 Ir 0.021 0.187 0.834
3 Se 0.613 0.775 0.838

14.
A plane-wave DFT calculation with GGA-PBE was carried out for an optimized crystal structure of IrSeBr3.

Properties
**N(E_F)**: 5.75 states/eV per cell
**Electronic total energy**: -3.679 eV/atom

Lattice parameters (Å, degrees): 7.403 8.213 12.974 90.00 91.73 90.00
Element x y z (fractional)
1 Br 0.657 0.279 0.469
2 Br 0.890 0.336 0.948
3 Br 0.110 0.664 0.052
4 Br 0.110 0.336 0.552
5 Br 0.781 0.552 0.716
6 Br 0.890 0.664 0.448
7 Br 0.219 0.552 0.784
8 Br 0.657 0.721 0.969
9 Br 0.219 0.448 0.284
10 Br 0.343 0.279 0.031
11 Br 0.343 0.721 0.531
12 Br 0.781 0.448 0.216
13 Se 0.040 0.902 0.666
14 Se 0.960 0.902 0.834
15 Se 0.960 0.098 0.334
16 Se 0.040 0.098 0.166
17 Ir 0.062 0.629 0.617
18 Ir 0.062 0.371 0.117
19 Ir 0.938 0.371 0.383
20 Ir 0.938 0.629 0.883

15.
A plane-wave DFT calculation with GGA-PBE was carried out for an optimized crystal structure of Ir2SeBr.

Properties
**N(E_F)**: 4.89 states/eV per cell
**Electronic total energy**: -4.747 eV/atom

Lattice parameters (Å, degrees): 4.554 4.554 4.554 60.00 60.00 60.00
Site moments in Bohr magnetons follow the coordinates.
Element x y z (fractional)
1 Ir 0.750 0.750 0.750  0.24
2 Ir 0.250 0.250 0.250  0.24
3 Se 0.000 0.000 0.000  0.00
4 Br 0.500 0.500 0.500  0.02

16.
A plane-wave DFT calculation with GGA-PBE was carried out for an optimized crystal structure of IrSeBr.

Properties
**Electronic total energy**: -4.917 eV/atom

Lattice parameters (Å, degrees): 3.669 3.669 6.715 83.50 83.50 60.06
Element x y z (fractional)
1 Ir 0.360 0.360 0.058
2 Br 0.661 0.661 0.297
3 Se 0.052 0.052 0.872

17.
A plane-wave DFT calculation with GGA-PBE was carried out for an optimized crystal structure of IrSe3Br9.

Properties
**N(E_F)**: 0.00 states/eV per cell
**Electronic total energy**: -2.851 eV/atom

Lattice parameters (Å, degrees): 8.080 8.703 14.221 81.94 87.94 69.39
Element x y z (fractional)
1 Br 0.855 0.542 0.117
2 Br 0.384 0.368 0.365
3 Br 0.422 0.016 0.737
4 Br 0.256 0.061 0.526
5 Br 0.335 0.881 0.078
6 Br 0.744 0.939 0.474
7 Br 0.374 0.390 0.113
8 Br 0.899 0.078 0.182
9 Br 0.145 0.458 0.883
10 Br 0.738 0.215 0.642
11 Br 0.626 0.610 0.887
12 Br 0.262 0.785 0.358
13 Br 0.578 0.984 0.263
14 Br 0.863 0.477 0.377
15 Br 0.665 0.119 0.922
16 Br 0.101 0.922 0.818
17 Br 0.137 0.523 0.623
18 Br 0.616 0.632 0.635
19 Se 0.941 0.512 0.752
20 Se 0.059 0.488 0.248
21 Se 0.144 0.075 0.370
22 Se 0.856 0.925 0.630
23 Se 0.156 0.141 0.122
24 Se 0.844 0.859 0.878
25 Ir 0.717 0.787 0.748
26 Ir 0.283 0.213 0.252

18.
A plane-wave DFT calculation with GGA-PBE was carried out for an optimized crystal structure of Ir2SeBr.

Properties
**N(E_F)**: 4.33 states/eV per cell
**Electronic total energy**: -5.007 eV/atom

Lattice parameters (Å, degrees): 8.058 8.058 8.058 22.88 22.88 22.88
Element x y z (fractional)
1 Se 0.250 0.250 0.250
2 Br 0.750 0.750 0.750
3 Ir 0.508 0.508 0.508
4 Ir 0.992 0.992 0.992

19.
A plane-wave DFT calculation with GGA-PBE was carried out for an optimized crystal structure of IrSe3Br9.

Properties
**Electronic total energy**: -2.835 eV/atom

Lattice parameters (Å, degrees): 8.604 14.424 15.775 90.00 97.18 90.00
Element x y z (fractional)
1 Br 0.263 0.393 0.964
2 Br 0.559 0.116 0.246
3 Br 0.321 0.991 0.335
4 Br 0.179 0.491 0.165
5 Br 0.501 0.699 0.429
6 Br 0.749 0.734 0.719
7 Br 0.420 0.523 0.700
8 Br 0.876 0.306 0.269
9 Br 0.376 0.194 0.769
10 Br 0.380 0.757 0.945
11 Br 0.499 0.301 0.571
12 Br 0.251 0.266 0.281
13 Br 0.001 0.801 0.929
14 Br 0.880 0.743 0.445
15 Br 0.120 0.257 0.555
16 Br 0.080 0.023 0.800
17 Br 0.737 0.607 0.036
18 Br 0.821 0.509 0.835
19 Br 0.679 0.009 0.665
20 Br 0.701 0.979 0.934
21 Br 0.249 0.766 0.219
22 Br 0.920 0.977 0.200
23 Br 0.299 0.021 0.066
24 Br 0.624 0.806 0.231
25 Br 0.751 0.234 0.781
26 Br 0.059 0.384 0.746
27 Br 0.799 0.479 0.566
28 Br 0.941 0.616 0.254
29 Br 0.201 0.521 0.434
30 Br 0.124 0.694 0.731
31 Br 0.237 0.893 0.536
32 Br 0.441 0.884 0.754
33 Br 0.620 0.243 0.055
34 Br 0.580 0.477 0.300
35 Br 0.999 0.199 0.071
36 Br 0.763 0.107 0.464
37 Se 0.115 0.909 0.391
38 Se 0.385 0.409 0.109
39 Se 0.891 0.812 0.205
40 Se 0.609 0.312 0.295
41 Se 0.391 0.688 0.705
42 Se 0.732 0.817 0.950
43 Se 0.885 0.091 0.609
44 Se 0.268 0.183 0.050
45 Se 0.109 0.188 0.795
46 Se 0.232 0.683 0.450
47 Se 0.615 0.591 0.891
48 Se 0.768 0.317 0.550
49 Ir 0.067 0.757 0.332
50 Ir 0.567 0.743 0.832
51 Ir 0.433 0.257 0.168
52 Ir 0.933 0.243 0.668

20.
A plane-wave DFT calculation with GGA-PBE was carried out for an optimized crystal structure of Ir2SeBr.

Properties
**N(E_F)**: 3.22 states/eV per cell
**Electronic total energy**: -5.000 eV/atom

Lattice parameters (Å, degrees): 4.138 2.863 6.977 114.18 90.00 90.00
Element x y z (fractional)
1 Ir 0.000 0.038 0.038
2 Ir 0.000 0.462 0.462
3 Br 0.500 0.750 0.750
4 Se 0.500 0.250 0.250